#w
The following is a DFT calculation (PBE) of a relaxed structure of Tm2MgSc6.

The structure in POSCAR format:
```
Tm2MgSc6
1.0
-2.6798 2.9701 7.7960
2.6798 -2.9701 7.7960
2.6798 2.9701 -7.7960
Tm Mg Sc
2 1 6
direct
0.1063 0.1063 0.0000 Tm
0.8937 0.8937 0.0000 Tm
0.5000 0.0000 0.5000 Mg
0.0537 0.3017 0.7520 Sc
0.2420 0.5000 0.7420 Sc
0.4503 0.6983 0.7520 Sc
0.5497 0.3017 0.2480 Sc
0.7580 0.5000 0.2580 Sc
0.9463 0.6983 0.2480 Sc
```

Computed properties:
Space-group type: Immm (71)
Magnetic moment: 0.004 μB/atom

***

#x
The following is a DFT calculation (PBE) of a relaxed structure of Tm2MgSc6.

The structure in POSCAR format:
```
Tm2MgSc6
1.0
9.0948 0.0000 0.0000
-4.5474 7.8764 0.0000
0.0000 0.0000 3.1827
Tm Mg Sc
2 1 6
direct
0.3333 0.6667 0.0000 Tm
0.6667 0.3333 0.0000 Tm
0.0000 0.0000 0.0000 Mg
0.0000 0.3299 0.5000 Sc
0.0000 0.6701 0.5000 Sc
0.3299 0.0000 0.5000 Sc
0.3299 0.3299 0.5000 Sc
0.6701 0.0000 0.5000 Sc
0.6701 0.6701 0.5000 Sc
```

Computed properties:
Space-group type: P6/mmm (191)
Magnetic moment: 0.000 μB/atom

***

Stability comparison, relative energies in eV/atom: #w 0.288; #x 0.000

***

#w
The following is a DFT calculation (PBE) of a relaxed structure of TmMgSc3.

The structure in POSCAR format:
```
TmMgSc3
1.0
2.6522 -7.4757 0.0000
2.6522 7.4757 0.0000
0.0000 0.0000 6.5654
Tm Mg Sc
2 2 6
direct
0.1166 0.8834 0.7500 Tm
0.8834 0.1166 0.2500 Tm
0.4956 0.5044 0.7500 Mg
0.5044 0.4956 0.2500 Mg
0.1264 0.8736 0.2500 Sc
0.3096 0.6904 0.5011 Sc
0.3096 0.6904 0.9989 Sc
0.6904 0.3096 0.0011 Sc
0.6904 0.3096 0.4989 Sc
0.8736 0.1264 0.7500 Sc
```

Computed properties:
Space-group type: Cmcm (63)
Magnetic moment: 0.000 μB/atom

***

#x
The following is a DFT calculation (PBE) of a relaxed structure of TmMgSc3.

The structure in POSCAR format:
```
TmMgSc3
1.0
12.7073 0.0000 0.0000
0.0000 5.0400 0.0000
0.0000 0.0000 8.0708
Tm Mg Sc
4 4 12
direct
0.1068 0.2500 0.0046 Tm
0.3932 0.7500 0.5046 Tm
0.6068 0.2500 0.4954 Tm
0.8932 0.7500 0.9954 Tm
0.0048 0.7500 0.6611 Mg
0.4952 0.2500 0.1611 Mg
0.5048 0.7500 0.8389 Mg
0.9952 0.2500 0.3389 Mg
0.1385 0.7500 0.3177 Sc
0.1433 0.2500 0.6101 Sc
0.2149 0.7500 0.8079 Sc
0.2851 0.2500 0.3079 Sc
0.3567 0.7500 0.1101 Sc
0.3615 0.2500 0.8177 Sc
0.6385 0.7500 0.1823 Sc
0.6433 0.2500 0.8899 Sc
0.7149 0.7500 0.6921 Sc
0.7851 0.2500 0.1921 Sc
0.8567 0.7500 0.3899 Sc
0.8615 0.2500 0.6823 Sc
```

Computed properties:
Space-group type: Pnma (62)
Magnetic moment: 0.000 μB/atom

***

Stability comparison, relative energies in eV/atom: #w 0.000; #x 0.053

***

#w
The following is a DFT calculation (PBE) of a relaxed structure of YTmMgSc.

The structure in POSCAR format:
```
YTmMgSc
1.0
7.5836 0.0000 0.0000
0.0000 7.5836 0.0000
0.0000 0.0000 7.5836
Y Tm Mg Sc
4 4 4 4
direct
0.0000 0.0000 0.0000 Y
0.0000 0.5000 0.5000 Y
0.5000 0.0000 0.5000 Y
0.5000 0.5000 0.0000 Y
0.0000 0.0000 0.5000 Tm
0.0000 0.5000 0.0000 Tm
0.5000 0.0000 0.0000 Tm
0.5000 0.5000 0.5000 Tm
0.2500 0.2500 0.7500 Mg
0.2500 0.7500 0.2500 Mg
0.7500 0.2500 0.2500 Mg
0.7500 0.7500 0.7500 Mg
0.2500 0.2500 0.2500 Sc
0.2500 0.7500 0.7500 Sc
0.7500 0.2500 0.7500 Sc
0.7500 0.7500 0.2500 Sc
```

Computed properties:
Space-group type: F-43m (216)
Magnetic moment: 0.000 μB/atom

***

#x
The following is a DFT calculation (PBE) of a relaxed structure of YTmMgSc.

The structure in POSCAR format:
```
YTmMgSc
1.0
3.5420 0.0000 0.0000
0.0000 3.5420 0.0000
0.0000 0.0000 8.8204
Y Tm Mg Sc
1 1 1 1
direct
0.0000 0.0000 0.0000 Y
0.0000 0.0000 0.4993 Tm
0.5000 0.5000 0.7467 Mg
0.5000 0.5000 0.2535 Sc
```

Computed properties:
Space-group type: P4mm (99)
Magnetic moment: 0.000 μB/atom

***

Stability comparison, relative energies in eV/atom: #w 0.048; #x 0.000

***

#w
The following is a DFT calculation (PBE) of a relaxed structure of TmMgScZn.

The structure in POSCAR format:
```
TmMgScZn
1.0
7.0888 0.0000 0.0000
0.0000 7.0888 0.0000
0.0000 0.0000 7.0888
Tm Mg Sc Zn
4 4 4 4
direct
0.0000 0.0000 0.0000 Tm
0.0000 0.5000 0.5000 Tm
0.5000 0.0000 0.5000 Tm
0.5000 0.5000 0.0000 Tm
0.2500 0.2500 0.7500 Mg
0.2500 0.7500 0.2500 Mg
0.7500 0.2500 0.2500 Mg
0.7500 0.7500 0.7500 Mg
0.0000 0.0000 0.5000 Sc
0.0000 0.5000 0.0000 Sc
0.5000 0.0000 0.0000 Sc
0.5000 0.5000 0.5000 Sc
0.2500 0.2500 0.2500 Zn
0.2500 0.7500 0.7500 Zn
0.7500 0.2500 0.7500 Zn
0.7500 0.7500 0.2500 Zn
```

Computed properties:
Space-group type: F-43m (216)
Magnetic moment: 0.000 μB/atom

***

#x
The following is a DFT calculation (PBE) of a relaxed structure of TmMgScZn.

The structure in POSCAR format:
```
TmMgScZn
1.0
3.4417 0.0000 0.0000
0.0000 3.4417 0.0000
0.0000 0.0000 7.6437
Tm Mg Sc Zn
1 1 1 1
direct
0.0000 0.0000 0.0000 Tm
0.5000 0.5000 0.2931 Mg
0.0000 0.0000 0.5589 Sc
0.5000 0.5000 0.7609 Zn
```

Computed properties:
Space-group type: P4mm (99)
Magnetic moment: 0.000 μB/atom

***

Stability comparison, relative energies in eV/atom: #w 0.036; #x 0.000

***

#w
The following is a DFT calculation (PBE) of a relaxed structure of TmMgZrSc.

The structure in POSCAR format:
```
TmMgZrSc
1.0
3.3307 0.0000 0.0000
0.0000 3.3307 0.0000
0.0000 0.0000 9.0369
Tm Mg Zr Sc
1 1 1 1
direct
0.0000 0.0000 0.0000 Tm
0.5000 0.5000 0.2659 Mg
0.5000 0.5000 0.7461 Zr
0.0000 0.0000 0.5110 Sc
```

Computed properties:
Space-group type: P4mm (99)
Magnetic moment: 0.000 μB/atom

***

#x
The following is a DFT calculation (PBE) of a relaxed structure of TmMgZrSc.

The structure in POSCAR format:
```
TmMgZrSc
1.0
7.3526 0.0000 0.0000
0.0000 7.3526 0.0000
0.0000 0.0000 7.3526
Tm Mg Zr Sc
4 4 4 4
direct
0.0000 0.0000 0.0000 Tm
0.0000 0.5000 0.5000 Tm
0.5000 0.0000 0.5000 Tm
0.5000 0.5000 0.0000 Tm
0.2500 0.2500 0.7500 Mg
0.2500 0.7500 0.2500 Mg
0.7500 0.2500 0.2500 Mg
0.7500 0.7500 0.7500 Mg
0.2500 0.2500 0.2500 Zr
0.2500 0.7500 0.7500 Zr
0.7500 0.2500 0.7500 Zr
0.7500 0.7500 0.2500 Zr
0.0000 0.0000 0.5000 Sc
0.0000 0.5000 0.0000 Sc
0.5000 0.0000 0.0000 Sc
0.5000 0.5000 0.5000 Sc
```

Computed properties:
Space-group type: F-43m (216)
Magnetic moment: 0.522 μB/atom

***

Stability comparison, relative energies in eV/atom: #w 0.000; #x 0.162

***

#w
The following is a DFT calculation (PBE) of a relaxed structure of MgSc2W2.

The structure in POSCAR format:
```
MgSc2W2
1.0
4.0292 0.0000 0.0000
0.0000 4.0292 0.0000
0.0000 0.0000 13.0215
Mg Sc W
2 4 4
direct
0.0000 0.0000 0.0000 Mg
0.5000 0.5000 0.5000 Mg
0.0000 0.5000 0.2500 Sc
0.0000 0.5000 0.7500 Sc
0.5000 0.0000 0.2500 Sc
0.5000 0.0000 0.7500 Sc
0.0000 0.0000 0.4090 W
0.0000 0.0000 0.5910 W
0.5000 0.5000 0.0910 W
0.5000 0.5000 0.9090 W
```

Computed properties:
Space-group type: I4/mmm (139)
Magnetic moment: 0.000 μB/atom

***

#x
The following is a DFT calculation (PBE) of a relaxed structure of MgSc2W2.

The structure in POSCAR format:
```
MgSc2W2
1.0
7.4146 0.0000 0.0000
0.0000 7.4146 0.0000
0.0000 0.0000 3.7278
Mg Sc W
2 4 4
direct
0.0000 0.0000 0.0000 Mg
0.5000 0.5000 0.0000 Mg
0.1750 0.3250 0.5000 Sc
0.3250 0.8250 0.5000 Sc
0.6750 0.1750 0.5000 Sc
0.8250 0.6750 0.5000 Sc
0.1154 0.6154 0.0000 W
0.3846 0.1154 0.0000 W
0.6154 0.8846 0.0000 W
0.8846 0.3846 0.0000 W
```

Computed properties:
Space-group type: P4/mbm (127)
Magnetic moment: 0.000 μB/atom

***

Stability comparison, relative energies in eV/atom: #w 0.551; #x 0.000

***

#w
The following is a DFT calculation (PBE) of a relaxed structure of Y2MgSc2.

The structure in POSCAR format:
```
Y2MgSc2
1.0
8.8186 0.0000 0.0000
0.0000 8.8186 0.0000
0.0000 0.0000 3.6051
Y Mg Sc
4 2 4
direct
0.1332 0.3668 0.0000 Y
0.3668 0.8668 0.0000 Y
0.6332 0.1332 0.0000 Y
0.8668 0.6332 0.0000 Y
0.0000 0.0000 0.0000 Mg
0.5000 0.5000 0.0000 Mg
0.1674 0.6674 0.5000 Sc
0.3326 0.1674 0.5000 Sc
0.6674 0.8326 0.5000 Sc
0.8326 0.3326 0.5000 Sc
```

Computed properties:
Space-group type: P4/mbm (127)
Magnetic moment: 0.000 μB/atom

***

#x
The following is a DFT calculation (PBE) of a relaxed structure of Y2MgSc2.

The structure in POSCAR format:
```
Y2MgSc2
1.0
8.8200 0.0000 0.0000
0.0000 8.8200 0.0000
0.0000 0.0000 3.5822
Y Mg Sc
4 2 4
direct
0.1755 0.3245 0.0000 Y
0.3245 0.8245 0.0000 Y
0.6755 0.1755 0.0000 Y
0.8245 0.6755 0.0000 Y
0.0000 0.0000 0.5000 Mg
0.5000 0.5000 0.5000 Mg
0.1226 0.6226 0.5000 Sc
0.3774 0.1226 0.5000 Sc
0.6226 0.8774 0.5000 Sc
0.8774 0.3774 0.5000 Sc
```

Computed properties:
Space-group type: P4/mbm (127)
Magnetic moment: 0.000 μB/atom

***

Stability comparison, relative energies in eV/atom: #w 0.064; #x 0.000

***

#w
The following is a DFT calculation (PBE) of a relaxed structure of YMgSc3.

The structure in POSCAR format:
```
YMgSc3
1.0
5.0976 0.0000 0.0000
0.0000 6.5254 0.0000
-2.5480 0.0000 7.7705
Y Mg Sc
2 2 6
direct
0.1943 0.2500 0.3878 Y
0.8057 0.7500 0.6122 Y
0.0085 0.7500 0.0178 Mg
0.9915 0.2500 0.9822 Mg
0.2034 0.7500 0.4075 Sc
0.3915 0.0039 0.7834 Sc
0.3915 0.4961 0.7834 Sc
0.6085 0.5039 0.2166 Sc
0.6085 0.9961 0.2166 Sc
0.7966 0.2500 0.5925 Sc
```

Computed properties:
Space-group type: P2_1/m (11)
Magnetic moment: 0.000 μB/atom

***

#x
The following is a DFT calculation (PBE) of a relaxed structure of YMgSc3.

The structure in POSCAR format:
```
YMgSc3
1.0
5.3202 0.0000 0.0000
0.0000 5.3202 0.0000
0.0000 0.0000 5.3202
Y Mg Sc
1 1 3
direct
0.0000 0.0000 0.0000 Y
0.5000 0.5000 0.5000 Mg
0.0000 0.0000 0.5000 Sc
0.0000 0.5000 0.0000 Sc
0.5000 0.0000 0.0000 Sc
```

Computed properties:
Space-group type: Pm-3m (221)
Magnetic moment: 0.000 μB/atom

***

#y
The following is a DFT calculation (PBE) of a relaxed structure of YMgSc3.

The structure in POSCAR format:
```
YMgSc3
1.0
5.2715 0.0000 0.0000
0.0000 5.2715 0.0000
0.0000 0.0000 5.2715
Y Mg Sc
1 1 3
direct
0.0000 0.0000 0.0000 Y
0.5000 0.5000 0.5000 Mg
0.0000 0.5000 0.5000 Sc
0.5000 0.0000 0.5000 Sc
0.5000 0.5000 0.0000 Sc
```

Computed properties:
Space-group type: Pm-3m (221)
Magnetic moment: 0.000 μB/atom

***

Stability comparison, relative energies in eV/atom: #w 0.000; #x 0.854; #y 0.542

***

#w
The following is a DFT calculation (PBE) of a relaxed structure of Y3MgSc.

The structure in POSCAR format:
```
Y3MgSc
1.0
6.3555 -1.7402 0.0000
6.3555 1.7402 0.0000
-4.9222 0.0000 13.1660
Y Mg Sc
6 2 2
direct
0.0107 0.0107 0.3853 Y
0.1201 0.1201 0.9777 Y
0.3914 0.3914 0.7962 Y
0.6086 0.6086 0.2038 Y
0.8799 0.8799 0.0223 Y
0.9893 0.9893 0.6147 Y
0.3291 0.3291 0.2018 Mg
0.6709 0.6709 0.7982 Mg
0.2900 0.2900 0.4206 Sc
0.7100 0.7100 0.5794 Sc
```

Computed properties:
Space-group type: C2/m (12)
Magnetic moment: 0.000 μB/atom

***

#x
The following is a DFT calculation (PBE) of a relaxed structure of Y3MgSc.

The structure in POSCAR format:
```
Y3MgSc
1.0
5.5463 0.0000 0.0000
0.0000 5.5463 0.0000
0.0000 0.0000 5.5463
Y Mg Sc
3 1 1
direct
0.0000 0.0000 0.5000 Y
0.0000 0.5000 0.0000 Y
0.5000 0.0000 0.0000 Y
0.5000 0.5000 0.5000 Mg
0.0000 0.0000 0.0000 Sc
```

Computed properties:
Space-group type: Pm-3m (221)
Magnetic moment: 0.000 μB/atom

***

#y
The following is a DFT calculation (PBE) of a relaxed structure of Y3MgSc.

The structure in POSCAR format:
```
Y3MgSc
1.0
5.5641 0.0000 0.0000
0.0000 5.5641 0.0000
0.0000 0.0000 5.5641
Y Mg Sc
3 1 1
direct
0.0000 0.0000 0.5000 Y
0.0000 0.5000 0.0000 Y
0.5000 0.0000 0.0000 Y
0.0000 0.0000 0.0000 Mg
0.5000 0.5000 0.5000 Sc
```

Computed properties:
Space-group type: Pm-3m (221)
Magnetic moment: 0.000 μB/atom

***

Stability comparison, relative energies in eV/atom: #w 0.000; #x 0.605; #y 0.667

***

#w
The following is a DFT calculation (PBE) of a relaxed structure of YMg2Sc2.

The structure in POSCAR format:
```
YMg2Sc2
1.0
-2.0849 2.0849 15.4620
2.0849 -2.0849 15.4620
2.0849 2.0849 -15.4620
Y Mg Sc
2 4 4
direct
0.1211 0.1211 0.0000 Y
0.8789 0.8789 0.0000 Y
0.0000 0.5000 0.5000 Mg
0.3265 0.3265 0.0000 Mg
0.5000 0.0000 0.5000 Mg
0.6735 0.6735 0.0000 Mg
0.2500 0.7500 0.5000 Sc
0.4263 0.4263 0.0000 Sc
0.5737 0.5737 0.0000 Sc
0.7500 0.2500 0.5000 Sc
```

Computed properties:
Space-group type: I4/mmm (139)
Magnetic moment: 0.020 μB/atom

***

#x
The following is a DFT calculation (PBE) of a relaxed structure of YMg2Sc2.

The structure in POSCAR format:
```
YMg2Sc2
1.0
8.6496 0.0000 0.0000
0.0000 8.6496 0.0000
0.0000 0.0000 3.3895
Y Mg Sc
2 4 4
direct
0.0000 0.0000 0.0000 Y
0.5000 0.5000 0.0000 Y
0.1692 0.3308 0.5000 Mg
0.3308 0.8308 0.5000 Mg
0.6692 0.1692 0.5000 Mg
0.8308 0.6692 0.5000 Mg
0.1275 0.6275 0.0000 Sc
0.3725 0.1275 0.0000 Sc
0.6275 0.8725 0.0000 Sc
0.8725 0.3725 0.0000 Sc
```

Computed properties:
Space-group type: P4/mbm (127)
Magnetic moment: 0.000 μB/atom

***

#y
The following is a DFT calculation (PBE) of a relaxed structure of YMg2Sc2.

The structure in POSCAR format:
```
YMg2Sc2
1.0
4.3809 0.0000 0.0000
0.0000 4.3809 0.0000
0.0000 0.0000 14.2381
Y Mg Sc
2 4 4
direct
0.0000 0.0000 0.0000 Y
0.5000 0.5000 0.5000 Y
0.0000 0.5000 0.2500 Mg
0.0000 0.5000 0.7500 Mg
0.5000 0.0000 0.2500 Mg
0.5000 0.0000 0.7500 Mg
0.0000 0.0000 0.4007 Sc
0.0000 0.0000 0.5993 Sc
0.5000 0.5000 0.0993 Sc
0.5000 0.5000 0.9007 Sc
```

Computed properties:
Space-group type: I4/mmm (139)
Magnetic moment: 0.000 μB/atom

***

#z
The following is a DFT calculation (PBE) of a relaxed structure of YMg2Sc2.

The structure in POSCAR format:
```
YMg2Sc2
1.0
8.6738 0.0000 0.0000
0.0000 8.6738 0.0000
0.0000 0.0000 3.4343
Y Mg Sc
2 4 4
direct
0.0000 0.0000 0.0000 Y
0.5000 0.5000 0.0000 Y
0.1270 0.3730 0.0000 Mg
0.3730 0.8730 0.0000 Mg
0.6270 0.1270 0.0000 Mg
0.8730 0.6270 0.0000 Mg
0.1709 0.6709 0.5000 Sc
0.3291 0.1709 0.5000 Sc
0.6709 0.8291 0.5000 Sc
0.8291 0.3291 0.5000 Sc
```

Computed properties:
Space-group type: P4/mbm (127)
Magnetic moment: 0.000 μB/atom

***

Stability comparison, relative energies in eV/atom: #w 0.180; #x 0.000; #y 0.229; #z 0.017